No. 1
First-principles (PBEsol) data for a relaxed LiNbSe2 crystal, as listed in Alexandria via LeMat-Bulk.

Values from the calculation:
**Crystal system**: hexagonal

abc: 3.4871 3.4871 13.4795
angles: 90.00 90.00 120.00
Space group P6_3/mmc (No. 194)
Unique sites:
Li1 0.0000 0.0000 0.0000
Nb1 0.0000 0.0000 0.2500
Se1 0.3333 0.6667 0.1269

No. 2
First-principles (PBEsol) data for a relaxed LiNbZn2Se crystal, as listed in Alexandria via LeMat-Bulk.

Values from the calculation:
**DOS(E_F)**: 5.70 states/eV per cell
**Crystal system**: tetragonal

abc: 4.991 4.991 5.130
angles: 90.00 90.00 90.00
Space group P4/mmm (No. 123)
Unique sites:
Li1 0.000 0.000 0.000
Nb1 0.000 0.000 0.500
Zn1 0.000 0.500 0.500
Se1 0.500 0.500 0.000

| no. | E_form (uncorrected) (eV/atom) | mass density (Mg/m³) |
| --- | --- | --- |
| 1 | -1.13 | 6.03 |
| 2 | 1.23 | 4.02 |